No. 1
Pt3SF | SCAN | single point on PBEsol structure

a b c (Å): 4.320 4.320 4.320
angles (deg): 90.00 90.00 90.00
Fractional positions:
F1 0.000 0.000 0.000
Pt1 0.500 0.000 0.000
Pt2 0.000 0.000 0.500
Pt3 0.000 0.500 0.000
S1 0.500 0.500 0.500

Results
ΔE_f (raw)   1.34 eV per atom
Space group   Pm-3m (221)
E_tot   -217.06 eV for the cell shown


No. 2
TaZn2Re | SCAN | single point on PBEsol structure

a b c (Å): 3.291 3.291 5.388
angles (deg): 90.00 90.00 90.00
Fractional positions:
Zn1 0.000 0.000 0.237
Zn2 0.000 0.000 0.763
Ta1 0.500 0.500 0.500
Re1 0.500 0.500 0.000

Results
Space group   P4/mmm (123)
Energy of formation from the pure elements   248 meV per atom
E_tot   -163.72 eV for the cell shown


Q: What is the E_tot in the second record?
A: -163.72 eV for the cell shown


Please write out number 1 again, unchanged.
Pt3SF | SCAN | single point on PBEsol structure

a b c (Å): 4.320 4.320 4.320
angles (deg): 90.00 90.00 90.00
Fractional positions:
F1 0.000 0.000 0.000
Pt1 0.500 0.000 0.000
Pt2 0.000 0.000 0.500
Pt3 0.000 0.500 0.000
S1 0.500 0.500 0.500

Results
ΔE_f (raw)   1.34 eV per atom
Space group   Pm-3m (221)
E_tot   -217.06 eV for the cell shown


Q: Number 1 is which compound?
A: Pt3SF


Q: Look up the E_tot of the second one.
A: -163.72 eV for the cell shown